Run a
The following is a GGA-PBE calculation of crystalline CaBr2Cl at its relaxed geometry, from Alexandria via LeMat-Bulk.

Cell: 4.581 4.581 5.513 Å, 90.00 90.00 90.00°
Atoms (fractional coordinates):
Ca: 0.000 0.000 0.000
Br: 0.500 0.500 0.249
Br: 0.500 0.500 0.751
Cl: 0.000 0.000 0.500

Values from the calculation:
The density of states at the Fermi level comes out at 1.4 states/eV per cell. The crystal system is tetragonal.

***

Run b
The following is a GGA-PBE calculation of crystalline CaBr2Cl at its relaxed geometry, from Alexandria via LeMat-Bulk.

Cell: 3.479 3.479 10.923 Å, 90.00 90.00 90.00°
Atoms (fractional coordinates):
Ca: 0.000 0.000 0.000
Br: 0.000 0.000 0.475
Br: 0.500 0.500 0.836
Cl: 0.500 0.500 0.137

Values from the calculation:
The density of states at the Fermi level comes out at 2.3 states/eV per cell. The crystal system is tetragonal.

***

Most stable structure, least stable structure: run b, run a.

***

Run a
The following is a GGA-PBE calculation of crystalline CaBr2Cl at its relaxed geometry, from Alexandria via LeMat-Bulk.

Cell: 9.199 9.199 9.199 Å, 26.97 26.97 26.97°
Atoms (fractional coordinates):
Ca: 0.000 0.000 0.000
Br: 0.275 0.275 0.275
Br: 0.725 0.725 0.725
Cl: 0.500 0.500 0.500

Values from the calculation:
The density of states at the Fermi level comes out at 7.7 states/eV per cell. The crystal system is trigonal.

***

Run b
The following is a GGA-PBE calculation of crystalline CaBr2Cl at its relaxed geometry, from Alexandria via LeMat-Bulk.

Cell: 9.714 9.714 7.529 Å, 112.50 112.50 26.01°
Atoms (fractional coordinates):
Ca: 0.000 0.000 0.000
Ca: 0.547 0.547 0.528
Br: 0.117 0.117 0.400
Br: 0.602 0.602 0.960
Br: 0.735 0.735 0.845
Br: 0.827 0.827 0.702
Cl: 0.447 0.447 0.139
Cl: 0.965 0.965 0.593

Values from the calculation:
The density of states at the Fermi level comes out at 0.0 states/eV per cell. The crystal system is monoclinic.

***

Most stable structure, least stable structure: run b, run a.

***

Run a
The following is a GGA-PBE calculation of crystalline CaBr2Cl at its relaxed geometry, from Alexandria via LeMat-Bulk.

Cell: 7.693 7.693 10.236 Å, 126.87 126.87 41.18°
Atoms (fractional coordinates):
Ca: 0.114 0.114 0.445
Ca: 0.886 0.886 0.555
Br: 0.051 0.051 0.941
Br: 0.144 0.144 0.749
Br: 0.856 0.856 0.251
Br: 0.949 0.949 0.059
Cl: 0.345 0.345 0.549
Cl: 0.655 0.655 0.451

Values from the calculation:
The density of states at the Fermi level comes out at 0.0 states/eV per cell. The crystal system is monoclinic.

***

Run b
The following is a GGA-PBE calculation of crystalline CaBr2Cl at its relaxed geometry, from Alexandria via LeMat-Bulk.

Cell: 5.451 8.144 8.212 Å, 115.62 94.94 104.52°
Atoms (fractional coordinates):
Ca: 0.000 0.000 0.000
Ca: 0.289 0.538 0.688
Br: 0.077 0.225 0.789
Br: 0.527 0.497 0.012
Br: 0.824 0.641 0.648
Br: 0.940 0.761 0.199
Cl: 0.165 0.300 0.330
Cl: 0.467 0.929 0.943

Values from the calculation:
The density of states at the Fermi level comes out at 0.0 states/eV per cell. The crystal system is triclinic.

***

Run c
The following is a GGA-PBE calculation of crystalline CaBr2Cl at its relaxed geometry, from Alexandria via LeMat-Bulk.

Cell: 5.670 5.670 4.453 Å, 90.00 90.00 121.98°
Atoms (fractional coordinates):
Ca: 0.000 0.000 0.000
Br: 0.214 0.786 0.500
Br: 0.786 0.214 0.500
Cl: 0.500 0.500 0.000

Values from the calculation:
The density of states at the Fermi level comes out at 1.0 states/eV per cell. The crystal system is orthorhombic.

***

Run d
The following is a GGA-PBE calculation of crystalline CaBr2Cl at its relaxed geometry, from Alexandria via LeMat-Bulk.

Cell: 4.680 4.680 5.270 Å, 90.00 90.00 107.19°
Atoms (fractional coordinates):
Ca: 0.000 0.000 0.000
Br: 0.000 0.500 0.500
Br: 0.500 0.000 0.500
Cl: 0.500 0.500 0.000

Values from the calculation:
The density of states at the Fermi level comes out at 1.9 states/eV per cell. The crystal system is orthorhombic.

***

Most stable structure, least stable structure: run a, run d.

***

Run a
The following is a GGA-PBE calculation of crystalline CaBr2Cl at its relaxed geometry, from Alexandria via LeMat-Bulk.

Cell: 4.281 7.721 9.118 Å, 95.93 103.46 90.62°
Atoms (fractional coordinates):
Ca: 0.149 0.423 0.300
Ca: 0.851 0.577 0.700
Br: 0.000 0.500 0.000
Br: 0.369 0.856 0.725
Br: 0.500 0.000 0.000
Br: 0.631 0.144 0.275
Cl: 0.300 0.368 0.606
Cl: 0.700 0.632 0.394

Values from the calculation:
The density of states at the Fermi level comes out at 0.0 states/eV per cell. The crystal system is triclinic.

***

Run b
The following is a GGA-PBE calculation of crystalline CaBr2Cl at its relaxed geometry, from Alexandria via LeMat-Bulk.

Cell: 7.449 4.310 9.630 Å, 90.00 91.31 90.00°
Atoms (fractional coordinates):
Ca: 0.000 0.000 0.000
Ca: 0.497 0.500 0.049
Br: 0.104 0.000 0.491
Br: 0.324 0.000 0.202
Br: 0.853 0.500 0.174
Br: 0.882 0.000 0.659
Cl: 0.187 0.500 0.892
Cl: 0.635 0.000 0.902

Values from the calculation:
The density of states at the Fermi level comes out at 0.0 states/eV per cell. The crystal system is monoclinic.

***

Run c
The following is a GGA-PBE calculation of crystalline CaBr2Cl at its relaxed geometry, from Alexandria via LeMat-Bulk.

Cell: 7.398 7.398 7.398 Å, 148.66 136.38 54.68°
Atoms (fractional coordinates):
Ca: 0.000 0.000 0.000
Br: 0.447 0.447 0.000
Br: 0.836 0.336 0.500
Cl: 0.132 0.632 0.500

Values from the calculation:
The density of states at the Fermi level comes out at 1.0 states/eV per cell. The crystal system is orthorhombic.

***

Run d
The following is a GGA-PBE calculation of crystalline CaBr2Cl at its relaxed geometry, from Alexandria via LeMat-Bulk.

Cell: 6.239 6.239 11.404 Å, 113.34 113.34 40.14°
Atoms (fractional coordinates):
Ca: 0.000 0.000 0.000
Ca: 0.582 0.582 0.352
Br: 0.197 0.197 0.260
Br: 0.604 0.604 0.903
Br: 0.744 0.744 0.746
Br: 0.844 0.844 0.598
Cl: 0.002 0.002 0.442
Cl: 0.413 0.413 0.090

Values from the calculation:
The density of states at the Fermi level comes out at 0.0 states/eV per cell. The crystal system is monoclinic.

***

Most stable structure, least stable structure: run b, run c.

***

Run a
The following is a GGA-PBE calculation of crystalline CaBr2Cl at its relaxed geometry, from Alexandria via LeMat-Bulk.

Cell: 5.418 7.752 8.305 Å, 96.76 108.80 110.33°
Atoms (fractional coordinates):
Ca: 0.000 0.000 0.000
Ca: 0.408 0.164 0.647
Br: 0.115 0.903 0.320
Br: 0.285 0.421 0.155
Br: 0.491 0.502 0.482
Br: 0.706 0.576 0.835
Cl: 0.464 0.000 0.926
Cl: 0.928 0.148 0.705

Values from the calculation:
The density of states at the Fermi level comes out at 0.0 states/eV per cell. The crystal system is triclinic.

***

Run b
The following is a GGA-PBE calculation of crystalline CaBr2Cl at its relaxed geometry, from Alexandria via LeMat-Bulk.

Cell: 8.990 8.990 8.128 Å, 94.23 94.23 26.51°
Atoms (fractional coordinates):
Ca: 0.000 0.000 0.000
Ca: 0.564 0.564 0.564
Br: 0.170 0.170 0.451
Br: 0.276 0.276 0.710
Br: 0.365 0.365 0.963
Br: 0.610 0.610 0.915
Cl: 0.496 0.496 0.248
Cl: 0.973 0.973 0.653

Values from the calculation:
The density of states at the Fermi level comes out at 0.0 states/eV per cell. The crystal system is monoclinic.

***

Most stable structure, least stable structure: run b, run a.

***

Run a
The following is a GGA-PBE calculation of crystalline CaBr2Cl at its relaxed geometry, from Alexandria via LeMat-Bulk.

Cell: 9.174 9.174 9.174 Å, 27.89 27.89 27.89°
Atoms (fractional coordinates):
Ca: 0.000 0.000 0.000
Br: 0.389 0.389 0.389
Br: 0.611 0.611 0.611
Cl: 0.500 0.500 0.500

Values from the calculation:
The density of states at the Fermi level comes out at 0.0 states/eV per cell. The crystal system is trigonal.

***

Run b
The following is a GGA-PBE calculation of crystalline CaBr2Cl at its relaxed geometry, from Alexandria via LeMat-Bulk.

Cell: 7.871 7.871 5.771 Å, 110.02 110.02 29.31°
Atoms (fractional coordinates):
Ca: 0.000 0.000 0.000
Br: 0.621 0.621 0.366
Br: 0.621 0.621 0.859
Cl: 0.378 0.378 0.888

Values from the calculation:
The density of states at the Fermi level comes out at 1.2 states/eV per cell. The crystal system is monoclinic.

***

Run c
The following is a GGA-PBE calculation of crystalline CaBr2Cl at its relaxed geometry, from Alexandria via LeMat-Bulk.

Cell: 5.328 5.328 6.405 Å, 103.12 103.12 44.51°
Atoms (fractional coordinates):
Ca: 0.000 0.000 0.000
Br: 0.360 0.360 0.675
Br: 0.527 0.527 0.354
Cl: 0.707 0.707 0.013

Values from the calculation:
The density of states at the Fermi level comes out at 1.7 states/eV per cell. The crystal system is monoclinic.

***

Most stable structure, least stable structure: run b, run a.

***

Run a
The following is a GGA-PBE calculation of crystalline Ca2BrCl at its relaxed geometry, from Alexandria via LeMat-Bulk.

Cell: 3.715 3.715 9.242 Å, 90.00 90.00 90.00°
Atoms (fractional coordinates):
Ca: 0.000 0.000 0.000
Ca: 0.500 0.500 0.339
Br: 0.000 0.000 0.504
Cl: 0.500 0.500 0.865

Values from the calculation:
The density of states at the Fermi level comes out at 1.1 states/eV per cell. The crystal system is tetragonal.

***

Run b
The following is a GGA-PBE calculation of crystalline Ca2BrCl at its relaxed geometry, from Alexandria via LeMat-Bulk.

Cell: 5.276 5.276 5.276 Å, 60.00 60.00 60.00°
Atoms (fractional coordinates):
Ca: 0.250 0.250 0.250
Ca: 0.750 0.750 0.750
Br: 0.000 0.000 0.000
Cl: 0.500 0.500 0.500

Values from the calculation:
The density of states at the Fermi level comes out at 3.9 states/eV per cell. The crystal system is cubic.

***

Run c
The following is a GGA-PBE calculation of crystalline Ca2BrCl at its relaxed geometry, from Alexandria via LeMat-Bulk.

Cell: 3.752 4.564 7.367 Å, 90.00 90.00 90.00°
Atoms (fractional coordinates):
Ca: 0.000 0.000 0.000
Ca: 0.500 0.000 0.500
Br: 0.000 0.500 0.500
Cl: 0.500 0.500 0.000

Values from the calculation:
The density of states at the Fermi level comes out at 1.4 states/eV per cell. The crystal system is orthorhombic.

***

Run d
The following is a GGA-PBE calculation of crystalline Ca2BrCl at its relaxed geometry, from Alexandria via LeMat-Bulk.

Cell: 4.141 4.141 9.098 Å, 90.00 90.00 126.06°
Atoms (fractional coordinates):
Ca: 0.000 0.000 0.242
Ca: 0.000 0.000 0.758
Br: 0.500 0.500 0.500
Cl: 0.500 0.500 0.000

Values from the calculation:
The density of states at the Fermi level comes out at 1.6 states/eV per cell. The crystal system is orthorhombic.

***

Most stable structure, least stable structure: run a, run b.

***

Run a
The following is a GGA-PBE calculation of crystalline Ca2BrCl at its relaxed geometry, from Alexandria via LeMat-Bulk.

Cell: 5.648 5.648 5.648 Å, 60.00 60.00 60.00°
Atoms (fractional coordinates):
Ca: 0.000 0.000 0.000
Ca: 0.250 0.250 0.250
Br: 0.750 0.750 0.750
Cl: 0.500 0.500 0.500

Values from the calculation:
The density of states at the Fermi level comes out at 2.1 states/eV per cell. The crystal system is cubic.

***

Run b
The following is a GGA-PBE calculation of crystalline Ca2BrCl at its relaxed geometry, from Alexandria via LeMat-Bulk.

Cell: 4.125 4.541 6.759 Å, 90.00 96.07 90.00°
Atoms (fractional coordinates):
Ca: 0.238 0.000 0.240
Ca: 0.762 0.000 0.760
Br: 0.500 0.500 0.500
Cl: 0.000 0.500 0.000

Values from the calculation:
The density of states at the Fermi level comes out at 1.6 states/eV per cell. The crystal system is monoclinic.

***

Run c
The following is a GGA-PBE calculation of crystalline Ca2BrCl at its relaxed geometry, from Alexandria via LeMat-Bulk.

Cell: 10.103 10.103 3.705 Å, 90.73 90.73 21.11°
Atoms (fractional coordinates):
Ca: 0.000 0.000 0.000
Ca: 0.658 0.658 0.511
Br: 0.235 0.235 0.016
Cl: 0.436 0.436 0.495

Values from the calculation:
The density of states at the Fermi level comes out at 1.5 states/eV per cell. The crystal system is monoclinic.

***

Run d
The following is a GGA-PBE calculation of crystalline Ca2BrCl at its relaxed geometry, from Alexandria via LeMat-Bulk.

Cell: 5.595 5.595 5.595 Å, 125.98 125.98 79.92°
Atoms (fractional coordinates):
Ca: 0.250 0.750 0.500
Ca: 0.750 0.250 0.500
Br: 0.000 0.000 0.000
Cl: 0.500 0.500 0.000

Values from the calculation:
The density of states at the Fermi level comes out at 3.2 states/eV per cell. The crystal system is tetragonal.

***

Most stable structure, least stable structure: run c, run a.